Entry 1:
# K2Hg3F9, optimized geometry, DFT PBE-GGA
data_K2Hg3F9
_chemical_formula_sum 'K4 Hg6 F18'
_cell_length_a 6.628
_cell_length_b 6.628
_cell_length_c 13.511
_cell_angle_alpha 106.93
_cell_angle_beta 106.93
_cell_angle_gamma 71.19
_symmetry_space_group_name_H-M 'P 1'
_symmetry_Int_Tables_number 1
loop_
_symmetry_equiv_pos_as_xyz
'x,y,z'
loop_
_atom_site_label
_atom_site_fract_x
_atom_site_fract_y
_atom_site_fract_z
K1 0.164 0.213 0.235
K2 0.213 0.164 0.735
K3 0.787 0.836 0.265
K4 0.836 0.787 0.765
Hg1 0.000 0.500 0.500
Hg2 0.172 0.660 0.074
Hg3 0.340 0.828 0.426
Hg4 0.500 0.000 0.000
Hg5 0.660 0.172 0.574
Hg6 0.828 0.340 0.926
F1 0.048 0.112 0.405
F2 0.080 0.532 0.903
F3 0.107 0.582 0.381
F4 0.112 0.048 0.905
F5 0.239 0.761 0.250
F6 0.345 0.418 0.593
F7 0.418 0.345 0.093
F8 0.418 0.893 0.119
F9 0.468 0.920 0.597
F10 0.532 0.080 0.403
F11 0.582 0.107 0.881
F12 0.582 0.655 0.907
F13 0.655 0.582 0.407
F14 0.761 0.239 0.750
F15 0.888 0.952 0.095
F16 0.893 0.418 0.619
F17 0.920 0.468 0.097
F18 0.952 0.888 0.595
# - magnetization (μB per formula unit) = 0.000
# - density (g/cm³) = 5.4
# - formation energy (no corrections) (eV per atom) = -1.756
# - Fermi-level density of states (states/eV/atom) = 0.460

Entry 2:
# KHg2F7, optimized geometry, DFT PBE-GGA
data_KHg2F7
_chemical_formula_sum 'K1 Hg2 F7'
_cell_length_a 6.864
_cell_length_b 6.864
_cell_length_c 4.330
_cell_angle_alpha 90.00
_cell_angle_beta 90.00
_cell_angle_gamma 120.07
_symmetry_space_group_name_H-M 'P 1'
_symmetry_Int_Tables_number 1
loop_
_symmetry_equiv_pos_as_xyz
'x,y,z'
loop_
_atom_site_label
_atom_site_fract_x
_atom_site_fract_y
_atom_site_fract_z
K1 0.000 0.000 0.000
Hg1 0.314 0.686 0.500
Hg2 0.686 0.314 0.500
F1 0.039 0.325 0.500
F2 0.311 0.689 0.000
F3 0.325 0.039 0.500
F4 0.500 0.500 0.500
F5 0.675 0.961 0.500
F6 0.689 0.311 0.000
F7 0.961 0.675 0.500
# - magnetization (μB per formula unit) = 1.343
# - density (g/cm³) = 5.4
# - formation energy (no corrections) (eV per atom) = -1.452
# - Fermi-level density of states (states/eV/atom) = 0.399

Entry 3:
# KHgF3, optimized geometry, DFT PBE-GGA
data_KHgF3
_chemical_formula_sum 'K1 Hg1 F3'
_cell_length_a 3.958
_cell_length_b 3.958
_cell_length_c 6.511
_cell_angle_alpha 90.00
_cell_angle_beta 90.00
_cell_angle_gamma 90.00
_symmetry_space_group_name_H-M 'P 1'
_symmetry_Int_Tables_number 1
loop_
_symmetry_equiv_pos_as_xyz
'x,y,z'
loop_
_atom_site_label
_atom_site_fract_x
_atom_site_fract_y
_atom_site_fract_z
K1 0.000 0.000 0.000
Hg1 0.500 0.500 0.430
F1 0.000 0.000 0.615
F2 0.000 0.500 0.247
F3 0.500 0.000 0.247
# - magnetization (μB per formula unit) = 0.000
# - density (g/cm³) = 4.8
# - formation energy (no corrections) (eV per atom) = -1.725
# - Fermi-level density of states (states/eV/atom) = 0.000